--- A ---
Computed, not measured: an optimized crystal structure of LiHfPO at the PBE level of DFT.

Values from the calculation:
- ρ: 6.61 Mg/m³

a b c (Å): 4.068 5.399 5.315
angles (deg): 90.00 90.00 90.00
Sites, in units of the cell vectors:
Li (0.500, 0.597, 0.558)
Li (0.500, 0.403, 0.058)
P (0.000, 0.246, 0.899)
P (0.000, 0.754, 0.399)
O (0.500, 0.717, 0.895)
O (0.500, 0.283, 0.395)
Hf (0.000, 0.229, 0.403)
Hf (0.000, 0.771, 0.903)



--- B ---
Computed, not measured: an optimized crystal structure of LiHfPO at the PBE level of DFT.

Values from the calculation:
- ρ: 6.68 Mg/m³

a b c (Å): 5.167 5.167 4.328
angles (deg): 90.00 90.00 90.00
Sites, in units of the cell vectors:
Li (0.500, 0.000, 0.003)
Li (0.000, 0.500, 0.997)
O (0.500, 0.500, 0.000)
O (0.000, 0.000, 0.000)
P (0.500, 0.000, 0.503)
P (0.000, 0.500, 0.497)
Hf (0.500, 0.500, 0.500)
Hf (0.000, 0.000, 0.500)



--- C ---
Computed, not measured: an optimized crystal structure of LiHfPO at the PBE level of DFT.

Values from the calculation:
- ρ: 5.92 Mg/m³

a b c (Å): 3.497 6.122 6.093
angles (deg): 90.00 90.00 90.00
Sites, in units of the cell vectors:
Hf (0.500, 0.479, 0.110)
Hf (0.500, 0.521, 0.610)
O (0.500, 0.726, 0.872)
O (0.500, 0.274, 0.372)
Li (0.000, 0.875, 0.923)
Li (0.000, 0.125, 0.423)
P (0.000, 0.717, 0.348)
P (0.000, 0.283, 0.848)



Stability comparison, relative energies in meV/atom: A 36; B 183; C 0



--- A ---
Computed, not measured: an optimized crystal structure of LiHfPO at the PBE level of DFT.

Values from the calculation:
- ρ: 6.69 Mg/m³

a b c (Å): 5.169 5.169 4.321
angles (deg): 90.00 90.00 90.00
Sites, in units of the cell vectors:
Hf (0.250, 0.750, 0.500)
Hf (0.750, 0.250, 0.500)
O (0.250, 0.750, 0.000)
O (0.750, 0.250, 0.000)
P (0.250, 0.250, 0.501)
P (0.750, 0.750, 0.499)
Li (0.750, 0.750, 0.999)
Li (0.250, 0.250, 0.001)



--- B ---
Computed, not measured: an optimized crystal structure of LiHfPO at the PBE level of DFT.

Values from the calculation:
- ρ: 7.21 Mg/m³

a b c (Å): 3.543 3.543 8.526
angles (deg): 90.00 90.00 90.00
Sites, in units of the cell vectors:
Li (0.000, 0.000, 0.500)
Li (0.500, 0.500, 0.500)
P (0.000, 0.500, 0.700)
P (0.500, 0.000, 0.300)
Hf (0.000, 0.500, 0.145)
Hf (0.500, 0.000, 0.855)
O (0.000, 0.000, 0.000)
O (0.500, 0.500, 0.000)



Stability comparison, relative energies in meV/atom: A 183; B 0



--- A ---
Computed, not measured: an optimized crystal structure of LiHfPa at the PBE level of DFT.

Values from the calculation:
- ρ: 9.24 Mg/m³

a b c (Å): 4.730 4.730 4.730
angles (deg): 60.00 60.00 60.00
Sites, in units of the cell vectors:
Li (0.750, 0.750, 0.750)
Pa (0.000, 0.000, 0.000)
Hf (0.250, 0.250, 0.250)



--- B ---
Computed, not measured: an optimized crystal structure of LiHfPa at the PBE level of DFT.

Values from the calculation:
- ρ: 10.00 Mg/m³

a b c (Å): 4.608 4.608 4.608
angles (deg): 60.00 60.00 60.00
Sites, in units of the cell vectors:
Hf (0.000, 0.000, 0.000)
Li (0.250, 0.250, 0.250)
Pa (0.750, 0.750, 0.750)



Stability comparison, relative energies in meV/atom: A 206; B 0



--- A ---
Computed, not measured: an optimized crystal structure of LiHfScPd at the PBE level of DFT.

Values from the calculation:
- ρ: 7.99 Mg/m³

a b c (Å): 4.625 4.625 4.625
angles (deg): 60.00 60.00 60.00
Sites, in units of the cell vectors:
Hf (0.250, 0.250, 0.250)
Li (0.750, 0.750, 0.750)
Pd (0.500, 0.500, 0.500)
Sc (0.000, 0.000, 0.000)



--- B ---
Computed, not measured: an optimized crystal structure of LiHfScPd at the PBE level of DFT.

Values from the calculation:
- ρ: 7.68 Mg/m³

a b c (Å): 4.688 4.688 4.688
angles (deg): 60.00 60.00 60.00
Sites, in units of the cell vectors:
Sc (0.000, 0.000, 0.000)
Li (0.750, 0.750, 0.750)
Pd (0.250, 0.250, 0.250)
Hf (0.500, 0.500, 0.500)



Stability comparison, relative energies in meV/atom: A 134; B 0